# Cs3PmCu2I9 | Alexandria via LeMat-Bulk | PBE-GGA | optimized geometry
data_Cs3PmCu2I9
_cell_length_a 8.3292
_cell_length_b 8.3292
_cell_length_c 10.3362
_cell_angle_alpha 90.00
_cell_angle_beta 90.00
_cell_angle_gamma 120.00
_symmetry_space_group_name_H-M 'P -3 m 1'
_symmetry_Int_Tables_number 164
_symmetry_space_group_name_Hall '-P 3 2"'
loop_
_atom_site_label
_atom_site_type_symbol
_atom_site_fract_x
_atom_site_fract_y
_atom_site_fract_z
Cs1 Cs 0.0000 0.0000 0.0000
Cs2 Cs 0.3333 0.6667 0.6734
Pm1 Pm 0.0000 0.0000 0.5000
Cu1 Cu 0.3333 0.6667 0.1327
I1 I 0.0000 0.5000 0.0000
I2 I 0.1734 0.3467 0.3251
# - calculated volume (Å³/atom) = 41.401
# - formation energy (no corrections) (eV per formula unit) = -14.81
# - M_tot (μB/f.u.) = 0.0
# - VASP energy (eV/atom) = -2.95

=====

# CsPmCu2I6 | Alexandria via LeMat-Bulk | PBE-GGA | optimized geometry
data_CsPmCu2I6
_cell_length_a 11.3867
_cell_length_b 15.6391
_cell_length_c 10.1524
_cell_angle_alpha 90.00
_cell_angle_beta 107.88
_cell_angle_gamma 90.00
_symmetry_space_group_name_H-M 'C 1 2/c 1'
_symmetry_Int_Tables_number 15
loop_
_symmetry_equiv_pos_as_xyz
'x,y,z'
'-x,-y,-z'
'-x,y,-z+1/2'
'x,-y,z+1/2'
'x+1/2,y+1/2,z'
'-x+1/2,-y+1/2,-z'
'-x+1/2,y+1/2,-z+1/2'
'x+1/2,-y+1/2,z+1/2'
loop_
_atom_site_label
_atom_site_type_symbol
_atom_site_fract_x
_atom_site_fract_y
_atom_site_fract_z
Cs1 Cs 0.0000 0.1405 0.2500
Pm1 Pm 0.0000 0.4433 0.7500
Cu1 Cu 0.2424 0.3677 0.2433
I1 I 0.0229 0.3852 0.0669
I2 I 0.1853 0.2813 0.7830
I3 I 0.2109 0.0082 0.5951
# - calculated volume (Å³/atom) = 43.016
# - formation energy (no corrections) (eV per formula unit) = -8.57
# - M_tot (μB/f.u.) = 0.0
# - VASP energy (eV/atom) = -3.17

=====

# Cs2PrCuI6 | Alexandria via LeMat-Bulk | PBE-GGA | optimized geometry
data_Cs2PrCuI6
_cell_length_a 12.0820
_cell_length_b 12.0820
_cell_length_c 12.0820
_cell_angle_alpha 90.00
_cell_angle_beta 90.00
_cell_angle_gamma 90.00
_symmetry_space_group_name_H-M 'F m -3 m'
_symmetry_Int_Tables_number 225
_symmetry_space_group_name_Hall '-F 4 2 3'
loop_
_atom_site_label
_atom_site_type_symbol
_atom_site_fract_x
_atom_site_fract_y
_atom_site_fract_z
Cs1 Cs 0.2500 0.2500 0.2500
Pr1 Pr 0.0000 0.0000 0.0000
Cu1 Cu 0.0000 0.0000 0.5000
I1 I 0.0000 0.0000 0.2598
# - calculated volume (Å³/atom) = 44.092
# - distance to the lowest polymorph of the same formula (meV per atom) = 14
# - formation energy (no corrections) (eV per formula unit) = -11.69
# - M_tot (μB/f.u.) = 0.0
# - VASP energy (eV/atom) = -3.16

=====

# Cs3PrCu2I9 | Alexandria via LeMat-Bulk | PBE-GGA | optimized geometry
data_Cs3PrCu2I9
_cell_length_a 8.3588
_cell_length_b 8.3588
_cell_length_c 10.3800
_cell_angle_alpha 90.00
_cell_angle_beta 90.00
_cell_angle_gamma 120.00
_symmetry_space_group_name_H-M 'P -3 m 1'
_symmetry_Int_Tables_number 164
_symmetry_space_group_name_Hall '-P 3 2"'
loop_
_atom_site_label
_atom_site_type_symbol
_atom_site_fract_x
_atom_site_fract_y
_atom_site_fract_z
Cs1 Cs 0.0000 0.0000 0.0000
Cs2 Cs 0.3333 0.6667 0.6740
Pr1 Pr 0.0000 0.0000 0.5000
Cu1 Cu 0.3333 0.6667 0.1312
I1 I 0.0000 0.5000 0.0000
I2 I 0.1745 0.3489 0.3231
# - calculated volume (Å³/atom) = 41.872
# - formation energy (no corrections) (eV per formula unit) = -14.81
# - M_tot (μB/f.u.) = 0.0
# - VASP energy (eV/atom) = -2.95

=====

# Cs2PrCuI6 | Alexandria via LeMat-Bulk | PBE-GGA | optimized geometry
data_Cs2PrCuI6
_cell_length_a 8.2184
_cell_length_b 8.5934
_cell_length_c 8.6499
_cell_angle_alpha 115.33
_cell_angle_beta 113.69
_cell_angle_gamma 98.40
_symmetry_space_group_name_H-M 'P -1'
_symmetry_Int_Tables_number 2
loop_
_symmetry_equiv_pos_as_xyz
'x,y,z'
'-x,-y,-z'
loop_
_atom_site_label
_atom_site_type_symbol
_atom_site_fract_x
_atom_site_fract_y
_atom_site_fract_z
Cs1 Cs 0.2439 0.2426 0.4875
Pr1 Pr 0.0000 0.5000 0.0000
Cu1 Cu 0.5000 0.0000 0.0000
I1 I 0.2188 0.8413 0.9984
I2 I 0.2356 0.7365 0.4704
I3 I 0.2990 0.3165 0.0005
# - calculated volume (Å³/atom) = 46.681
# - distance to the lowest polymorph of the same formula (meV per atom) = 0
# - formation energy (no corrections) (eV per formula unit) = -11.83
# - M_tot (μB/f.u.) = 0.0
# - VASP energy (eV/atom) = -3.17

=====

# CsPrCu2I6 | Alexandria via LeMat-Bulk | PBE-GGA | optimized geometry
data_CsPrCu2I6
_cell_length_a 11.4294
_cell_length_b 15.6181
_cell_length_c 10.2573
_cell_angle_alpha 90.00
_cell_angle_beta 107.79
_cell_angle_gamma 90.00
_symmetry_space_group_name_H-M 'C 1 2/c 1'
_symmetry_Int_Tables_number 15
loop_
_symmetry_equiv_pos_as_xyz
'x,y,z'
'-x,-y,-z'
'-x,y,-z+1/2'
'x,-y,z+1/2'
'x+1/2,y+1/2,z'
'-x+1/2,-y+1/2,-z'
'-x+1/2,y+1/2,-z+1/2'
'x+1/2,-y+1/2,z+1/2'
loop_
_atom_site_label
_atom_site_type_symbol
_atom_site_fract_x
_atom_site_fract_y
_atom_site_fract_z
Cs1 Cs 0.0000 0.1402 0.2500
Pr1 Pr 0.0000 0.4430 0.7500
Cu1 Cu 0.2381 0.3699 0.2423
I1 I 0.0211 0.3836 0.0666
I2 I 0.1854 0.2790 0.7809
I3 I 0.2094 0.0077 0.5944
# - calculated volume (Å³/atom) = 43.584
# - formation energy (no corrections) (eV per formula unit) = -8.73
# - M_tot (μB/f.u.) = 0.0
# - VASP energy (eV/atom) = -3.19

=====

# Cs2PrCu2I6 | Alexandria via LeMat-Bulk | PBE-GGA | optimized geometry
data_Cs2PrCu2I6
_cell_length_a 14.8334
_cell_length_b 8.7177
_cell_length_c 9.0961
_cell_angle_alpha 90.00
_cell_angle_beta 121.58
_cell_angle_gamma 90.00
_symmetry_space_group_name_H-M 'C 1 2/m 1'
_symmetry_Int_Tables_number 12
loop_
_symmetry_equiv_pos_as_xyz
'x,y,z'
'-x,-y,-z'
'-x,y,-z'
'x,-y,z'
'x+1/2,y+1/2,z'
'-x+1/2,-y+1/2,-z'
'-x+1/2,y+1/2,-z'
'x+1/2,-y+1/2,z'
loop_
_atom_site_label
_atom_site_type_symbol
_atom_site_fract_x
_atom_site_fract_y
_atom_site_fract_z
Cs1 Cs 0.2271 0.0000 0.2143
Pr1 Pr 0.0000 0.0000 0.5000
Cu1 Cu 0.0592 0.5000 0.2633
I1 I 0.0375 0.2469 0.7868
I2 I 0.2480 0.5000 0.3229
# - calculated volume (Å³/atom) = 45.548
# - formation energy (no corrections) (eV per formula unit) = -9.84
# - M_tot (μB/f.u.) = 0.9
# - VASP energy (eV/atom) = -3.07

=====

# CsPu2CuI8 | Alexandria via LeMat-Bulk | PBE-GGA | optimized geometry
data_CsPu2CuI8
_cell_length_a 8.6787
_cell_length_b 9.2119
_cell_length_c 9.4844
_cell_angle_alpha 73.97
_cell_angle_beta 65.91
_cell_angle_gamma 80.49
_symmetry_space_group_name_H-M 'P -1'
_symmetry_Int_Tables_number 2
loop_
_symmetry_equiv_pos_as_xyz
'x,y,z'
'-x,-y,-z'
loop_
_atom_site_label
_atom_site_type_symbol
_atom_site_fract_x
_atom_site_fract_y
_atom_site_fract_z
Cs1 Cs 0.0000 0.0000 0.0000
Pu1 Pu 0.0290 0.2584 0.4688
Cu1 Cu 0.0000 0.5000 0.0000
I1 I 0.1793 0.6665 0.7597
I2 I 0.1962 0.5648 0.2719
I3 I 0.2147 0.9960 0.2931
I4 I 0.2980 0.1929 0.6010
# - calculated volume (Å³/atom) = 55.344
# - formation energy (no corrections) (eV per formula unit) = -11.41
# - M_tot (μB/f.u.) = 10.0
# - VASP energy (eV/atom) = -4.79

=====

Question: Which formula does entry 3 have?
Answer: Cs2PrCuI6

=====

Question: calculated volume of number 6 (CsPrCu2I6)?
Answer: 43.584 Å³/atom

=====

Question: Which of these has the highest M_tot?
Answer: CsPu2CuI8

=====

Question: Number 8 is which compound?
Answer: CsPu2CuI8